Entry 1:
DFT (GGA-PBE) results for an optimized crystal structure of Li3FePd6.

Geometry as CIF:
```
data_Li3FePd6
_chemical_formula_sum 'Li6 Fe2 Pd12'
_space_group_name_H-M_alt 'P 1 21/m 1'
_space_group_IT_number 11
_space_group_name_Hall '-P 2yb'
_cell_length_a 7.522
_cell_length_b 4.248
_cell_length_c 9.078
_cell_angle_alpha 90.00
_cell_angle_beta 104.31
_cell_angle_gamma 90.00
loop_
_atom_site_label
_atom_site_type_symbol
_atom_site_fract_x
_atom_site_fract_y
_atom_site_fract_z
Li1 Li 0.043 0.250 0.398
Li2 Li 0.147 0.750 0.190
Li3 Li 0.255 0.250 0.981
Fe1 Fe 0.439 0.250 0.612
Pd1 Pd 0.038 0.750 0.898
Pd2 Pd 0.127 0.250 0.685
Pd3 Pd 0.255 0.750 0.484
Pd4 Pd 0.343 0.250 0.304
Pd5 Pd 0.346 0.750 0.791
Pd6 Pd 0.432 0.750 0.098
```

Properties
VASP energy: -96.3 eV for the cell shown
M_tot: 0.42 μB/atom


Entry 2:
DFT (GGA-PBE) results for an optimized crystal structure of DyMg2Si.

Geometry as CIF:
```
data_DyMg2Si
_chemical_formula_sum 'Dy1 Mg2 Si1'
_space_group_name_H-M_alt 'P 4/m m m'
_space_group_IT_number 123
_space_group_name_Hall '-P 4 2'
_cell_length_a 4.266
_cell_length_b 4.266
_cell_length_c 4.668
_cell_angle_alpha 90.00
_cell_angle_beta 90.00
_cell_angle_gamma 90.00
loop_
_atom_site_label
_atom_site_type_symbol
_atom_site_fract_x
_atom_site_fract_y
_atom_site_fract_z
Dy1 Dy 0.000 0.000 0.000
Mg1 Mg 0.000 0.500 0.500
Si1 Si 0.500 0.500 0.000
```

Properties
VASP energy: -14.4 eV for the cell shown
M_tot: 0.00 μB/atom


Entry 3:
DFT (GGA-PBE) results for an optimized crystal structure of Cs3Rb7Cd2.

Geometry as CIF:
```
data_Cs3Rb7Cd2
_chemical_formula_sum 'Cs6 Rb14 Cd4'
_space_group_name_H-M_alt 'C m m m'
_space_group_IT_number 65
_space_group_name_Hall '-C 2 2'
_cell_length_a 6.694
_cell_length_b 41.795
_cell_length_c 6.902
_cell_angle_alpha 90.00
_cell_angle_beta 90.00
_cell_angle_gamma 90.00
loop_
_atom_site_label
_atom_site_type_symbol
_atom_site_fract_x
_atom_site_fract_y
_atom_site_fract_z
Cs1 Cs 0.000 0.000 0.000
Cs2 Cs 0.000 0.199 0.500
Rb1 Rb 0.000 0.093 0.500
Rb2 Rb 0.000 0.298 0.000
Rb3 Rb 0.000 0.405 0.000
Rb4 Rb 0.000 0.500 0.500
Cd1 Cd 0.000 0.145 0.000
```

Properties
VASP energy: -21.8 eV for the cell shown
M_tot: 0.00 μB/atom


Entry 4:
DFT (GGA-PBE) results for an optimized crystal structure of Sm4ThSe6.

Geometry as CIF:
```
data_Sm4ThSe6
_chemical_formula_sum 'Sm16 Th4 Se24'
_space_group_name_H-M_alt 'C m c m'
_space_group_IT_number 63
_space_group_name_Hall '-C 2c 2'
_cell_length_a 4.098
_cell_length_b 13.687
_cell_length_c 20.949
_cell_angle_alpha 90.00
_cell_angle_beta 90.00
_cell_angle_gamma 90.00
loop_
_atom_site_label
_atom_site_type_symbol
_atom_site_fract_x
_atom_site_fract_y
_atom_site_fract_z
Sm1 Sm 0.000 0.086 0.126
Sm2 Sm 0.000 0.360 0.038
Th1 Th 0.000 0.156 0.750
Se1 Se 0.000 0.000 0.000
Se2 Se 0.000 0.189 0.250
Se3 Se 0.000 0.268 0.594
Se4 Se 0.000 0.446 0.168
```

Properties
VASP energy: -267.6 eV for the cell shown
M_tot: 0.00 μB/atom